VASP calculation (PBE) on an optimized crystal structure of Nb2ReBiI.

## Properties
E, eV per atom: -5.111
Formation energy from raw total energies, kJ/mol of formula units: 1202

Cell lengths 4.9943, 4.9943, 5.7179 Å; angles 90.00, 90.00, 90.00 degrees
Fractional positions:
Nb  0.0000  0.5000  0.0000
Nb  0.5000  0.0000  0.0000
Re  0.0000  0.0000  0.5000
Bi  0.5000  0.5000  0.5000
I  0.5000  0.5000  0.0000

VASP calculation (PBE) on an optimized crystal structure of InRh2Br.

## Properties
Excess energy over the best structure of this formula in the dataset, eV/atom: 0.2447
E, eV per atom: -4.523
Formation energy from raw total energies, kJ/mol of formula units: 99

Cell lengths 3.3968, 3.3968, 23.7856 Å; angles 90.00, 90.00, 120.00 degrees
Fractional positions:
In  0.0000  0.0000  0.0000
In  0.3333  0.6667  0.6667
In  0.6667  0.3333  0.3333
Rh  0.0000  0.0000  0.4863
Rh  0.0000  0.0000  0.7460
Rh  0.3333  0.6667  0.1529
Rh  0.3333  0.6667  0.4126
Rh  0.6667  0.3333  0.0793
Rh  0.6667  0.3333  0.8196
Br  0.0000  0.0000  0.2250
Br  0.3333  0.6667  0.8916
Br  0.6667  0.3333  0.5583

VASP calculation (PBE) on an optimized crystal structure of Ti2FeCBr.

## Properties
E, eV per atom: -5.254
Formation energy from raw total energies, kJ/mol of formula units: 856

Cell lengths 4.6458, 4.6458, 4.1805 Å; angles 90.00, 90.00, 90.00 degrees
Fractional positions:
Ti  0.0000  0.5000  0.0000
Ti  0.5000  0.0000  0.0000
Fe  0.0000  0.0000  0.5000
C  0.5000  0.5000  0.5000
Br  0.0000  0.0000  0.0000